# 1
! GGA-PBE CaSn2F6, relaxed; values from VASP
! energy above the most stable polymorph in this dataset = 0.044 eV/atom
! SG = C2/c
! formation energy (no corrections) = -25.14 eV/f.u.
! total moment = 0.000 Bohr magnetons per cell
&SYSTEM
  ibrav = 0, nat = 18, ntyp = 3
/
ATOMIC_SPECIES
Ca 40.08 Ca.upf
Sn 118.71 Sn.upf
F 19.00 F.upf
CELL_PARAMETERS angstrom
4.833 -6.270 0.000
4.833 6.270 0.000
-1.294 0.000 5.627
ATOMIC_POSITIONS crystal
Ca 0.087 0.913 0.750
Ca 0.913 0.087 0.250
Sn 0.224 0.458 0.881
Sn 0.458 0.224 0.381
Sn 0.542 0.776 0.619
Sn 0.776 0.542 0.119
F 0.069 0.643 0.847
F 0.075 0.181 0.626
F 0.181 0.075 0.126
F 0.295 0.515 0.546
F 0.357 0.931 0.653
F 0.485 0.705 0.954
F 0.515 0.295 0.046
F 0.643 0.069 0.347
F 0.705 0.485 0.454
F 0.819 0.925 0.874
F 0.925 0.819 0.374
F 0.931 0.357 0.153

=====

# 2
! GGA-PBE NbAsW3, relaxed; values from VASP
! energy above the most stable polymorph in this dataset = 0.000 eV/atom
! SG = Pm-3m
! ΔH_f (0 K) = 669 kJ/mol of formula units
! total moment = 0.000 Bohr magnetons per cell
&SYSTEM
  ibrav = 0, nat = 5, ntyp = 3
/
ATOMIC_SPECIES
Nb 92.91 Nb.upf
As 74.92 As.upf
W 183.84 W.upf
CELL_PARAMETERS angstrom
4.577 0.000 0.000
0.000 4.577 0.000
0.000 0.000 4.577
ATOMIC_POSITIONS crystal
Nb 0.000 0.000 0.000
As 0.500 0.500 0.500
W 0.000 0.500 0.500
W 0.500 0.000 0.500
W 0.500 0.500 0.000

=====

# 3
! GGA-PBE ZrTlPb, relaxed; values from VASP
! energy above the most stable polymorph in this dataset = 0.026 eV/atom
! SG = Imm2
! ΔH_f (0 K) = 32 kJ/mol of formula units
! total moment = 0.000 Bohr magnetons per cell
&SYSTEM
  ibrav = 0, nat = 6, ntyp = 3
/
ATOMIC_SPECIES
Zr 91.22 Zr.upf
Tl 204.38 Tl.upf
Pb 207.20 Pb.upf
CELL_PARAMETERS angstrom
3.390 0.000 0.000
0.000 4.201 0.000
0.000 0.000 10.739
ATOMIC_POSITIONS crystal
Zr 0.000 0.000 0.000
Zr 0.500 0.500 0.500
Tl 0.000 0.000 0.348
Tl 0.500 0.500 0.848
Pb 0.000 0.000 0.664
Pb 0.500 0.500 0.164

=====

# 4
! GGA-PBE CeCoTc, relaxed; values from VASP
! energy above the most stable polymorph in this dataset = 0.229 eV/atom
! SG = P-6m2
! ΔH_f (0 K) = 21 kJ/mol of formula units
! total moment = 0.751 Bohr magnetons per cell
&SYSTEM
  ibrav = 0, nat = 3, ntyp = 3
/
ATOMIC_SPECIES
Ce 140.12 Ce.upf
Co 58.93 Co.upf
Tc 98.00 Tc.upf
CELL_PARAMETERS angstrom
4.048 0.000 0.000
-2.024 3.505 0.000
0.000 0.000 4.103
ATOMIC_POSITIONS crystal
Ce 0.000 0.000 0.000
Co 0.333 0.667 0.500
Tc 0.667 0.333 0.500

=====

# 5
! GGA-PBE Mg2GaB2O6, relaxed; values from VASP
! SG = P-3
! formation energy (no corrections) = -23.19 eV/f.u.
! total moment = 0.000 Bohr magnetons per cell
&SYSTEM
  ibrav = 0, nat = 11, ntyp = 4
/
ATOMIC_SPECIES
Mg 24.30 Mg.upf
Ga 69.72 Ga.upf
B 10.81 B.upf
O 16.00 O.upf
CELL_PARAMETERS angstrom
5.024 0.000 0.000
-2.512 4.351 0.000
0.000 0.000 5.833
ATOMIC_POSITIONS crystal
Mg 0.333 0.667 0.314
Mg 0.667 0.333 0.686
Ga 0.000 0.000 0.000
B 0.333 0.667 0.773
B 0.667 0.333 0.227
O 0.066 0.685 0.767
O 0.315 0.382 0.767
O 0.382 0.066 0.233
O 0.618 0.934 0.767
O 0.685 0.618 0.233
O 0.934 0.315 0.233

=====

# 6
! GGA-PBE Nd3Zn3Cd, relaxed; values from VASP
! SG = Imm2
! ΔH_f (0 K) = -187 kJ/mol of formula units
! total moment = 0.000 Bohr magnetons per cell
&SYSTEM
  ibrav = 0, nat = 14, ntyp = 3
/
ATOMIC_SPECIES
Nd 144.24 Nd.upf
Zn 65.41 Zn.upf
Cd 112.41 Cd.upf
CELL_PARAMETERS angstrom
3.636 0.000 0.000
0.000 4.671 0.000
0.000 0.000 20.488
ATOMIC_POSITIONS crystal
Nd 0.000 0.000 0.000
Nd 0.000 0.000 0.389
Nd 0.000 0.500 0.185
Nd 0.500 0.000 0.685
Nd 0.500 0.500 0.500
Nd 0.500 0.500 0.889
Zn 0.000 0.000 0.553
Zn 0.000 0.000 0.834
Zn 0.000 0.500 0.623
Zn 0.500 0.000 0.123
Zn 0.500 0.500 0.053
Zn 0.500 0.500 0.334
Cd 0.000 0.500 0.758
Cd 0.500 0.000 0.258

=====

# 7
! GGA-PBE La2Ho5Er12, relaxed; values from VASP
! energy above the most stable polymorph in this dataset = 0.000 eV/atom
! SG = P-1
! ΔH_f (0 K) = 50 kJ/mol of formula units
! total moment = 0.000 Bohr magnetons per cell
&SYSTEM
  ibrav = 0, nat = 19, ntyp = 3
/
ATOMIC_SPECIES
La 138.91 La.upf
Ho 164.93 Ho.upf
Er 167.26 Er.upf
CELL_PARAMETERS angstrom
6.125 0.000 0.000
-0.015 9.372 0.000
-1.028 -2.025 10.366
ATOMIC_POSITIONS crystal
La 0.079 0.314 0.473
La 0.921 0.686 0.527
Ho 0.239 0.947 0.420
Ho 0.341 0.369 0.051
Ho 0.500 0.000 0.000
Ho 0.659 0.631 0.949
Ho 0.761 0.053 0.580
Er 0.026 0.104 0.155
Er 0.133 0.526 0.793
Er 0.185 0.737 0.104
Er 0.290 0.157 0.740
Er 0.395 0.580 0.366
Er 0.448 0.791 0.687
Er 0.552 0.209 0.313
Er 0.605 0.420 0.634
Er 0.710 0.843 0.260
Er 0.815 0.263 0.896
Er 0.867 0.474 0.207
Er 0.974 0.896 0.845

=====

# 8
! GGA-PBE BaAg3, relaxed; values from VASP
! energy above the most stable polymorph in this dataset = 0.194 eV/atom
! SG = Pm-3n
! ΔH_f (0 K) = 2 kJ/mol of formula units
! total moment = 0.000 Bohr magnetons per cell
&SYSTEM
  ibrav = 0, nat = 8, ntyp = 2
/
ATOMIC_SPECIES
Ba 137.33 Ba.upf
Ag 107.87 Ag.upf
CELL_PARAMETERS angstrom
5.972 0.000 0.000
0.000 5.972 0.000
0.000 0.000 5.972
ATOMIC_POSITIONS crystal
Ba 0.000 0.000 0.000
Ba 0.500 0.500 0.500
Ag 0.000 0.250 0.500
Ag 0.000 0.750 0.500
Ag 0.250 0.500 0.000
Ag 0.500 0.000 0.250
Ag 0.500 0.000 0.750
Ag 0.750 0.500 0.000